# MnZnPdF6 GGA+U relaxed
data_MnZnPdF6
_chemical_formula_sum 'Mn2 Zn2 Pd2 F12'
_space_group_name_H-M_alt 'P -3 1 c'
_space_group_IT_number 163
_space_group_name_Hall '-P 3 2c'
_cell_length_a 5.4650
_cell_length_b 5.4650
_cell_length_c 9.2563
_cell_angle_alpha 90.00
_cell_angle_beta 90.00
_cell_angle_gamma 120.00
loop_
_atom_site_label
_atom_site_type_symbol
_atom_site_fract_x
_atom_site_fract_y
_atom_site_fract_z
Mn1 Mn 0.3333 0.6667 0.2500
Zn1 Zn 0.3333 0.6667 0.7500
Pd1 Pd 0.0000 0.0000 0.0000
F1 F 0.0120 0.3481 0.6316
# theoretical density = 4.73 g/cm³
# final energy = -4.79 eV/atom
# magnetization = 7.00 μB/f.u.